A plane-wave DFT calculation with PBE was carried out for a geometry-optimized PaMnNb structure.

```
data_PaMnNb
_chemical_formula_sum 'Pa2 Mn2 Nb2'
_cell_length_a 3.0709
_cell_length_b 3.0709
_cell_length_c 11.6163
_cell_angle_alpha 90.00
_cell_angle_beta 90.00
_cell_angle_gamma 90.00
_symmetry_space_group_name_H-M 'I 4 m m'
_symmetry_Int_Tables_number 107
_symmetry_space_group_name_Hall 'I 4 -2'
loop_
_atom_site_label
_atom_site_type_symbol
_atom_site_fract_x
_atom_site_fract_y
_atom_site_fract_z
Pa1 Pa 0.0000 0.0000 0.0000
Mn1 Mn 0.0000 0.0000 0.6658
Nb1 Nb 0.0000 0.0000 0.2868
```

Computed properties:
Calculated formation energy, eV per atom: 0.12
Calculated volume, Å³ per atom: 18.26
Distance to the lowest polymorph of the same formula, meV per atom: 0.0
Density, Mg/m³: 11.5
Total magnetic moment, μB per formula unit: 0.0
Energy, eV/atom: -9.46


A plane-wave DFT calculation with PBE was carried out for a geometry-optimized PRhCl2 structure.

```
data_PRhCl2
_chemical_formula_sum 'P2 Rh2 Cl4'
_cell_length_a 3.0289
_cell_length_b 5.6391
_cell_length_c 8.5194
_cell_angle_alpha 90.00
_cell_angle_beta 90.00
_cell_angle_gamma 90.00
_symmetry_space_group_name_H-M 'C m m m'
_symmetry_Int_Tables_number 65
_symmetry_space_group_name_Hall '-C 2 2'
loop_
_atom_site_label
_atom_site_type_symbol
_atom_site_fract_x
_atom_site_fract_y
_atom_site_fract_z
P1 P 0.0000 0.0000 0.0000
Rh1 Rh 0.0000 0.0000 0.5000
Cl1 Cl 0.0000 0.5000 0.2846
```

Computed properties:
Calculated volume, Å³ per atom: 18.19
Distance to the lowest polymorph of the same formula, meV per atom: 1202.1
Density, Mg/m³: 4.7
Total magnetic moment, μB per formula unit: 0.0
Energy, eV/atom: -3.65


A plane-wave DFT calculation with PBE was carried out for a geometry-optimized TbPr4Pb4 structure.

```
data_TbPr4Pb4
_chemical_formula_sum 'Tb2 Pr8 Pb8'
_cell_length_a 9.6954
_cell_length_b 9.6954
_cell_length_c 6.6027
_cell_angle_alpha 90.00
_cell_angle_beta 90.00
_cell_angle_gamma 90.00
_symmetry_space_group_name_H-M 'P 42/n'
_symmetry_Int_Tables_number 86
loop_
_symmetry_equiv_pos_as_xyz
'x,y,z'
'-x,-y,-z'
'-y,x+1/2,z+1/2'
'y,-x+1/2,-z+1/2'
'-x+1/2,-y+1/2,z'
'x+1/2,y+1/2,-z'
'y+1/2,-x,z+1/2'
'-y+1/2,x,-z+1/2'
loop_
_atom_site_label
_atom_site_type_symbol
_atom_site_fract_x
_atom_site_fract_y
_atom_site_fract_z
Tb1 Tb 0.2500 0.2500 0.2500
Pr1 Pr 0.0291 0.6697 0.1191
Pb1 Pb 0.0264 0.6524 0.6106
```

Computed properties:
Calculated formation energy, eV per atom: -0.33
Calculated volume, Å³ per atom: 34.48
Density, Mg/m³: 8.3
Total magnetic moment, μB per formula unit: 0.0
Energy, eV/atom: -4.62


A plane-wave DFT calculation with PBE was carried out for a geometry-optimized BeAuF2 structure.

```
data_BeAuF2
_chemical_formula_sum 'Be3 Au3 F6'
_cell_length_a 2.6880
_cell_length_b 2.6880
_cell_length_c 28.0176
_cell_angle_alpha 90.00
_cell_angle_beta 90.00
_cell_angle_gamma 120.00
_symmetry_space_group_name_H-M 'R -3 m'
_symmetry_Int_Tables_number 166
_symmetry_space_group_name_Hall '-R 3 2"'
loop_
_atom_site_label
_atom_site_type_symbol
_atom_site_fract_x
_atom_site_fract_y
_atom_site_fract_z
Be1 Be 0.0000 0.0000 0.0000
Au1 Au 0.0000 0.0000 0.5000
F1 F 0.0000 0.0000 0.3650
```

Computed properties:
Calculated volume, Å³ per atom: 14.61
Distance to the lowest polymorph of the same formula, meV per atom: 0.0
Density, Mg/m³: 6.9
Total magnetic moment, μB per formula unit: 0.0
Energy, eV/atom: -4.83